TiRhSe3, relaxed, DFT PBE; ρ = 5.6 g/cm3; excess energy over the best structure of this formula in the dataset = 0 meV/atom; density of states at the Fermi level = 11.2 states/eV/cell; symmetry = No. 221; E_form (uncorrected) = 210 meV per atom
1.0
-0.587 0.233 -4.834
4.326 -2.156 -0.629
-2.168 -4.366 0.053
Rh Se Ti
1 3 1
Direct
0.500 0.500 0.500
0.000 0.500 0.000
0.000 0.000 0.500
0.500 0.000 0.000
0.000 0.000 0.000

***

BaPrAg2Te4, relaxed, DFT PBE; ρ = 6.1 g/cm3; density of states at the Fermi level = 3.5 states/eV/cell; symmetry = No. 23; E_form (uncorrected) = -805 meV per atom
1.0
7.563 0.000 0.000
3.781 6.046 0.041
3.781 0.536 6.023
Ba Pr Ag Te
1 1 2 4
Direct
0.000 0.000 0.000
0.500 0.500 0.500
0.173 0.327 0.327
0.827 0.673 0.673
0.482 0.067 0.518
0.067 0.933 0.482
0.933 0.518 0.067
0.518 0.482 0.933

***

AcWN3, relaxed, DFT PBE; ρ = 9.7 g/cm3; density of states at the Fermi level = 1.7 states/eV/cell; symmetry = No. 59; E_form (uncorrected) = -495 meV per atom
1.0
3.047 -0.637 0.000
-1.568 7.701 0.000
0.000 0.000 6.901
Ac W N
2 2 6
Direct
0.453 0.704 0.750
0.547 0.296 0.250
0.482 0.233 0.750
0.518 0.767 0.250
0.054 0.304 0.939
0.946 0.696 0.061
0.054 0.304 0.561
0.946 0.696 0.439
0.238 0.988 0.750
0.762 0.012 0.250

***

Repeat the third record exactly.
AcWN3, relaxed, DFT PBE; ρ = 9.7 g/cm3; density of states at the Fermi level = 1.7 states/eV/cell; symmetry = No. 59; E_form (uncorrected) = -495 meV per atom
1.0
3.047 -0.637 0.000
-1.568 7.701 0.000
0.000 0.000 6.901
Ac W N
2 2 6
Direct
0.453 0.704 0.750
0.547 0.296 0.250
0.482 0.233 0.750
0.518 0.767 0.250
0.054 0.304 0.939
0.946 0.696 0.061
0.054 0.304 0.561
0.946 0.696 0.439
0.238 0.988 0.750
0.762 0.012 0.250

***

Question: Which value of density of states at the Fermi level does entry 1 give?
Answer: 11.2 states/eV/cell

***

Question: What is the formula in the first record?
Answer: TiRhSe3

***

What did the third record say?
AcWN3, relaxed, DFT PBE; ρ = 9.7 g/cm3; density of states at the Fermi level = 1.7 states/eV/cell; symmetry = No. 59; E_form (uncorrected) = -495 meV per atom
1.0
3.047 -0.637 0.000
-1.568 7.701 0.000
0.000 0.000 6.901
Ac W N
2 2 6
Direct
0.453 0.704 0.750
0.547 0.296 0.250
0.482 0.233 0.750
0.518 0.767 0.250
0.054 0.304 0.939
0.946 0.696 0.061
0.054 0.304 0.561
0.946 0.696 0.439
0.238 0.988 0.750
0.762 0.012 0.250